# PBE TbCo6Ge4, relaxed
# Density of states at the Fermi level   8.6 states/eV/cell
# Formation energy from the elements   -371 meV per atom
data_TbCo6Ge4
_symmetry_space_group_name_H-M 'P -6 m 2'
_symmetry_Int_Tables_number 187
_symmetry_space_group_name_Hall 'P -6 2'
_cell_length_a 6.7876
_cell_length_b 6.7876
_cell_length_c 3.7060
_cell_angle_alpha 90.00
_cell_angle_beta 90.00
_cell_angle_gamma 120.00
loop_
_atom_site_label
_atom_site_type_symbol
_atom_site_fract_x
_atom_site_fract_y
_atom_site_fract_z
Tb1 Tb 0.0000 0.0000 0.0000
Co1 Co 0.2062 0.4123 0.5000
Co2 Co 0.5351 0.0701 0.0000
Ge1 Ge 0.3333 0.6667 0.0000
Ge2 Ge 0.3901 0.1950 0.5000

# PBE TbTmCo2Ge2, relaxed
# Density of states at the Fermi level   5.1 states/eV/cell
# Formation energy from the elements   -609 meV per atom
data_TbTmCo2Ge2
_symmetry_space_group_name_H-M 'P -3 m 1'
_symmetry_Int_Tables_number 164
_symmetry_space_group_name_Hall '-P 3 2"'
_cell_length_a 4.1864
_cell_length_b 4.1864
_cell_length_c 7.0560
_cell_angle_alpha 90.00
_cell_angle_beta 90.00
_cell_angle_gamma 120.00
loop_
_atom_site_label
_atom_site_type_symbol
_atom_site_fract_x
_atom_site_fract_y
_atom_site_fract_z
Tb1 Tb 0.0000 0.0000 0.0000
Tm1 Tm 0.0000 0.0000 0.5000
Co1 Co 0.3333 0.6667 0.7254
Ge1 Ge 0.3333 0.6667 0.2628

# PBE CoTcGe2, relaxed
# Density of states at the Fermi level   6.1 states/eV/cell
# Formation energy from the elements   370 meV per atom
# Distance to the lowest polymorph of the same formula   450 meV/atom
data_CoTcGe2
_symmetry_space_group_name_H-M 'I -4 2 d'
_symmetry_Int_Tables_number 122
_symmetry_space_group_name_Hall 'I -4 2bw'
_cell_length_a 6.465
_cell_length_b 6.465
_cell_length_c 5.790
_cell_angle_alpha 90.00
_cell_angle_beta 90.00
_cell_angle_gamma 90.00
loop_
_atom_site_label
_atom_site_type_symbol
_atom_site_fract_x
_atom_site_fract_y
_atom_site_fract_z
Co1 Co 0.000 0.000 0.000
Tc1 Tc 0.000 0.000 0.500
Ge1 Ge 0.221 0.250 0.125

# PBE CoTcGe2, relaxed
# Density of states at the Fermi level   3.5 states/eV/cell
# Formation energy from the elements   -54 meV per atom
# Distance to the lowest polymorph of the same formula   26 meV/atom
data_CoTcGe2
_symmetry_space_group_name_H-M 'F m -3 m'
_symmetry_Int_Tables_number 225
_symmetry_space_group_name_Hall '-F 4 2 3'
_cell_length_a 5.997
_cell_length_b 5.997
_cell_length_c 5.997
_cell_angle_alpha 90.00
_cell_angle_beta 90.00
_cell_angle_gamma 90.00
loop_
_atom_site_label
_atom_site_type_symbol
_atom_site_fract_x
_atom_site_fract_y
_atom_site_fract_z
Co1 Co 0.000 0.000 0.000
Tc1 Tc 0.000 0.000 0.500
Ge1 Ge 0.250 0.250 0.250

# PBE CoTcGe3, relaxed
# Density of states at the Fermi level   17.2 states/eV/cell
# Formation energy from the elements   16 meV per atom
# Distance to the lowest polymorph of the same formula   91 meV/atom
data_CoTcGe3
_symmetry_space_group_name_H-M 'P n m a'
_symmetry_Int_Tables_number 62
_cell_length_a 7.555
_cell_length_b 3.045
_cell_length_c 13.276
_cell_angle_alpha 90.00
_cell_angle_beta 90.00
_cell_angle_gamma 90.00
loop_
_symmetry_equiv_pos_as_xyz
'x,y,z'
'-x,-y,-z'
'-x+1/2,-y,z+1/2'
'x+1/2,y,-z+1/2'
'x+1/2,-y+1/2,-z+1/2'
'-x+1/2,y+1/2,z+1/2'
'-x,y+1/2,-z'
'x,-y+1/2,z'
loop_
_atom_site_label
_atom_site_type_symbol
_atom_site_fract_x
_atom_site_fract_y
_atom_site_fract_z
Co1 Co 0.245 0.250 0.041
Tc1 Tc 0.040 0.250 0.699
Ge1 Ge 0.007 0.250 0.909
Ge2 Ge 0.098 0.250 0.435
Ge3 Ge 0.196 0.250 0.224

# PBE Co5TcGe6, relaxed
# Density of states at the Fermi level   6.7 states/eV/cell
# Formation energy from the elements   -40 meV per atom
data_Co5TcGe6
_symmetry_space_group_name_H-M 'P -1'
_symmetry_Int_Tables_number 2
_cell_length_a 4.184
_cell_length_b 5.858
_cell_length_c 6.606
_cell_angle_alpha 89.95
_cell_angle_beta 72.05
_cell_angle_gamma 89.94
loop_
_symmetry_equiv_pos_as_xyz
'x,y,z'
'-x,-y,-z'
loop_
_atom_site_label
_atom_site_type_symbol
_atom_site_fract_x
_atom_site_fract_y
_atom_site_fract_z
Co1 Co 0.000 0.000 0.000
Co2 Co 0.327 0.000 0.341
Co3 Co 0.336 0.500 0.333
Tc1 Tc 0.000 0.500 0.000
Ge1 Ge 0.170 0.249 0.660
Ge2 Ge 0.170 0.751 0.660
Ge3 Ge 0.500 0.241 0.000

# PBE Co2TcGe, relaxed
# Density of states at the Fermi level   18.3 states/eV/cell
# Formation energy from the elements   441 meV per atom
data_Co2TcGe
_symmetry_space_group_name_H-M 'I -4 2 d'
_symmetry_Int_Tables_number 122
_symmetry_space_group_name_Hall 'I -4 2bw'
_cell_length_a 3.641
_cell_length_b 3.641
_cell_length_c 16.454
_cell_angle_alpha 90.00
_cell_angle_beta 90.00
_cell_angle_gamma 90.00
loop_
_atom_site_label
_atom_site_type_symbol
_atom_site_fract_x
_atom_site_fract_y
_atom_site_fract_z
Co1 Co 0.243 0.250 0.125
Tc1 Tc 0.000 0.000 0.500
Ge1 Ge 0.000 0.000 0.000

# PBE CoTc2Ge, relaxed
# Density of states at the Fermi level   16.5 states/eV/cell
# Formation energy from the elements   609 meV per atom
data_CoTc2Ge
_symmetry_space_group_name_H-M 'R -3 m'
_symmetry_Int_Tables_number 166
_symmetry_space_group_name_Hall '-R 3 2"'
_cell_length_a 2.7674
_cell_length_b 2.7674
_cell_length_c 26.7869
_cell_angle_alpha 90.00
_cell_angle_beta 90.00
_cell_angle_gamma 120.00
loop_
_atom_site_label
_atom_site_type_symbol
_atom_site_fract_x
_atom_site_fract_y
_atom_site_fract_z
Co1 Co 0.0000 0.0000 0.0000
Tc1 Tc 0.0000 0.0000 0.0892
Ge1 Ge 0.0000 0.0000 0.5000

# PBE CoTc3Ge, relaxed
# Density of states at the Fermi level   10.7 states/eV/cell
# Formation energy from the elements   1679 meV per atom
# Distance to the lowest polymorph of the same formula   369 meV/atom
data_CoTc3Ge
_symmetry_space_group_name_H-M 'P m -3 m'
_symmetry_Int_Tables_number 221
_symmetry_space_group_name_Hall '-P 4 2 3'
_cell_length_a 4.473
_cell_length_b 4.473
_cell_length_c 4.473
_cell_angle_alpha 90.00
_cell_angle_beta 90.00
_cell_angle_gamma 90.00
loop_
_atom_site_label
_atom_site_type_symbol
_atom_site_fract_x
_atom_site_fract_y
_atom_site_fract_z
Co1 Co 0.000 0.000 0.000
Tc1 Tc 0.000 0.500 0.500
Ge1 Ge 0.500 0.500 0.500

# PBE Co3TcGe6, relaxed
# Density of states at the Fermi level   10.2 states/eV/cell
# Formation energy from the elements   -14 meV per atom
data_Co3TcGe6
_symmetry_space_group_name_H-M 'P 1 21/c 1'
_symmetry_Int_Tables_number 14
_cell_length_a 6.229
_cell_length_b 6.182
_cell_length_c 8.740
_cell_angle_alpha 90.00
_cell_angle_beta 116.06
_cell_angle_gamma 90.00
loop_
_symmetry_equiv_pos_as_xyz
'x,y,z'
'-x,-y,-z'
'-x,y+1/2,-z+1/2'
'x,-y+1/2,z+1/2'
loop_
_atom_site_label
_atom_site_type_symbol
_atom_site_fract_x
_atom_site_fract_y
_atom_site_fract_z
Co1 Co 0.000 0.000 0.000
Co2 Co 0.296 0.145 0.757
Tc1 Tc 0.500 0.000 0.500
Ge1 Ge 0.075 0.020 0.285
Ge2 Ge 0.252 0.700 0.108
Ge3 Ge 0.392 0.132 0.067

# PBE CoTcGe2, relaxed
# Density of states at the Fermi level   8.3 states/eV/cell
# Formation energy from the elements   24 meV per atom
# Distance to the lowest polymorph of the same formula   104 meV/atom
data_CoTcGe2
_symmetry_space_group_name_H-M 'R 3 m'
_symmetry_Int_Tables_number 160
_symmetry_space_group_name_Hall 'R 3 -2"'
_cell_length_a 3.6588
_cell_length_b 3.6588
_cell_length_c 15.3735
_cell_angle_alpha 90.00
_cell_angle_beta 90.00
_cell_angle_gamma 120.00
loop_
_atom_site_label
_atom_site_type_symbol
_atom_site_fract_x
_atom_site_fract_y
_atom_site_fract_z
Co1 Co 0.0000 0.0000 0.0000
Tc1 Tc 0.0000 0.0000 0.8208
Ge1 Ge 0.0000 0.0000 0.3976
Ge2 Ge 0.0000 0.0000 0.5846

# PBE CoTc5Ge6, relaxed
# Density of states at the Fermi level   22.4 states/eV/cell
# Formation energy from the elements   44 meV per atom
data_CoTc5Ge6
_symmetry_space_group_name_H-M 'C 1 2/m 1'
_symmetry_Int_Tables_number 12
_cell_length_a 5.103
_cell_length_b 8.788
_cell_length_c 8.037
_cell_angle_alpha 90.00
_cell_angle_beta 102.48
_cell_angle_gamma 90.00
loop_
_symmetry_equiv_pos_as_xyz
'x,y,z'
'-x,-y,-z'
'-x,y,-z'
'x,-y,z'
'x+1/2,y+1/2,z'
'-x+1/2,-y+1/2,-z'
'-x+1/2,y+1/2,-z'
'x+1/2,-y+1/2,z'
loop_
_atom_site_label
_atom_site_type_symbol
_atom_site_fract_x
_atom_site_fract_y
_atom_site_fract_z
Co1 Co 0.000 0.000 0.000
Tc1 Tc 0.000 0.174 0.500
Tc2 Tc 0.000 0.344 0.000
Tc3 Tc 0.000 0.500 0.500
Ge1 Ge 0.233 0.000 0.746
Ge2 Ge 0.237 0.163 0.241